Computed, not measured: a relaxed structure of YLu2As at the PBE-GGA level of DFT.

Computed properties:
**Magnetic moment**: 0.92 μB per formula unit
**ΔH_f (0 K)**: -340 meV/atom
**Total energy**: -64.55 eV for the cell shown

```
data_YLu2As
_space_group_name_H-M_alt 'R -3 m'
_space_group_IT_number 166
_space_group_name_Hall '-R 3 2"'
_cell_length_a 3.7068
_cell_length_b 3.7068
_cell_length_c 30.5830
_cell_angle_alpha 90.00
_cell_angle_beta 90.00
_cell_angle_gamma 120.00
loop_
_atom_site_label
_atom_site_type_symbol
_atom_site_fract_x
_atom_site_fract_y
_atom_site_fract_z
Y1 Y 0.0000 0.0000 0.0000
Lu1 Lu 0.0000 0.0000 0.1109
As1 As 0.0000 0.0000 0.5000
```